No. 1
Density functional theory data (GGA-PBE) for La7Sm12Tm after structural relaxation.

Results
energy of formation = 0.580 eV per atom
calculated density = 6.37 g/cm3
DOS at the Fermi energy = 1.6789 states/eV per atom
magnetization = 0.0018 μB per atom
electronic total energy = -4.20 eV/atom
polymorph energy (0 for the lowest one) = 0.5032 eV/atom

The structure in extended XYZ format:
```
20
Lattice="-5.769 5.769 5.769 5.769 -5.769 5.769 5.769 5.769 -5.769" Properties=species:S:1:pos:R:3 pbc="T T T"
La 2.885 2.885 -2.885
La 2.885 -2.885 2.885
La 5.769 0.000 0.000
La -2.885 2.885 2.885
La 0.000 5.769 0.000
La 0.000 0.000 5.769
La 2.885 2.885 2.885
Sm 5.769 2.938 -2.928
Sm 2.841 0.000 2.831
Sm 8.697 0.000 2.831
Sm 2.831 2.841 0.000
Sm 2.938 -2.928 5.769
Sm 0.000 2.831 2.841
Sm 5.769 2.938 2.928
Sm 2.831 8.697 0.000
Sm 2.938 2.928 5.769
Sm -2.928 5.769 2.938
Sm 2.928 5.769 2.938
Sm 0.000 2.831 8.697
Tm 0.000 0.000 0.000
```


No. 2
Density functional theory data (GGA-PBE) for Cr2FeRuC after structural relaxation.

Results
energy of formation = 0.091 eV per atom
calculated density = 8.24 g/cm3
DOS at the Fermi energy = 0.8138 states/eV per atom
magnetization = 0.0444 μB per atom
electronic total energy = -9.15 eV/atom

The structure in extended XYZ format:
```
5
Lattice="3.843 0.000 0.000 0.000 3.843 0.000 0.000 0.000 3.722" Properties=species:S:1:pos:R:3 pbc="T T T"
Cr 0.000 1.922 0.000
Cr 1.922 0.000 0.000
Fe 0.000 0.000 1.861
Ru 1.922 1.922 1.861
C 0.000 0.000 0.000
```


No. 3
Density functional theory data (GGA-PBE) for CeHoP after structural relaxation.

Results
energy of formation = -0.718 eV per atom
calculated density = 7.40 g/cm3
DOS at the Fermi energy = 2.0900 states/eV per atom
magnetization = 0.3494 μB per atom
electronic total energy = -6.03 eV/atom

The structure in extended XYZ format:
```
3
Lattice="-1.770 1.770 6.012 1.770 -1.770 6.012 1.770 1.770 -6.012" Properties=species:S:1:pos:R:3 pbc="T T T"
Ce 0.000 0.000 0.000
Ho 0.000 0.000 8.892
P 0.000 0.000 4.393
```


No. 4
Density functional theory data (GGA-PBE) for ReSiIr2 after structural relaxation.

Results
calculated density = 17.32 g/cm3
DOS at the Fermi energy = 0.6047 states/eV per atom
magnetization = 0.0000 μB per atom
electronic total energy = -8.97 eV/atom

The structure in extended XYZ format:
```
4
Lattice="2.781 0.000 0.000 0.000 3.719 0.000 0.000 0.000 5.551" Properties=species:S:1:pos:R:3 pbc="T T T"
Re 0.000 0.000 0.000
Si 1.390 1.860 1.645
Ir 0.000 0.000 2.683
Ir 1.390 1.860 4.360
```


No. 5
Density functional theory data (GGA-PBE) for ZnCrP2 after structural relaxation.

Results
energy of formation = 0.217 eV per atom
calculated density = 5.24 g/cm3
DOS at the Fermi energy = 0.4269 states/eV per atom
magnetization = 0.6913 μB per atom
electronic total energy = -5.21 eV/atom

The structure in extended XYZ format:
```
4
Lattice="4.124 0.000 0.000 0.000 4.124 0.000 0.000 0.000 3.341" Properties=species:S:1:pos:R:3 pbc="T T T"
Zn 0.000 0.000 0.000
Cr 2.062 2.062 0.000
P 0.000 2.062 1.670
P 2.062 0.000 1.670
```


No. 6
Density functional theory data (GGA-PBE) for TiFe3Pt6 after structural relaxation.

Results
energy of formation = -0.440 eV per atom
calculated density = 15.63 g/cm3
DOS at the Fermi energy = 0.6922 states/eV per atom
magnetization = 1.0318 μB per atom
electronic total energy = -7.39 eV/atom

The structure in extended XYZ format:
```
20
Lattice="8.632 0.000 0.000 0.000 3.884 0.000 -0.184 0.000 8.781" Properties=species:S:1:pos:R:3 pbc="T T T"
Ti 0.459 0.971 3.356
Ti 7.988 2.913 5.425
Fe 2.019 0.971 8.748
Fe 2.858 2.913 7.026
Fe 3.742 0.971 5.307
Fe 4.705 2.913 3.474
Fe 5.589 0.971 1.755
Fe 6.429 2.913 0.033
Pt 0.350 2.913 7.915
Pt 1.144 0.971 6.112
Pt 1.294 2.913 1.782
Pt 2.061 2.913 4.423
Pt 3.104 0.971 2.698
Pt 3.925 2.913 0.882
Pt 4.523 0.971 7.900
Pt 5.343 2.913 6.084
Pt 6.387 0.971 4.359
Pt 7.154 0.971 7.000
Pt 7.303 2.913 2.669
Pt 8.098 0.971 0.867
```


No. 7
Density functional theory data (GGA-PBE) for CsHgPAu2 after structural relaxation.

Results
energy of formation = -0.093 eV per atom
calculated density = 8.84 g/cm3
DOS at the Fermi energy = 0.0941 states/eV per atom
magnetization = 0.0000 μB per atom
electronic total energy = -2.72 eV/atom

The structure in extended XYZ format:
```
5
Lattice="5.000 0.000 0.000 0.000 5.000 0.000 0.000 0.000 5.696" Properties=species:S:1:pos:R:3 pbc="T T T"
Cs 0.000 0.000 0.000
Hg 2.500 2.500 0.000
P 2.500 2.500 2.848
Au 0.000 2.500 2.848
Au 2.500 0.000 2.848
```


No. 8
Density functional theory data (GGA-PBE) for RbCaTl2 after structural relaxation.

Results
energy of formation = -0.088 eV per atom
calculated density = 6.24 g/cm3
DOS at the Fermi energy = 0.8712 states/eV per atom
magnetization = 0.0000 μB per atom
electronic total energy = -2.01 eV/atom
polymorph energy (0 for the lowest one) = 0.1140 eV/atom

The structure in extended XYZ format:
```
4
Lattice="0.000 4.144 4.144 4.144 0.000 4.144 4.144 4.144 0.000" Properties=species:S:1:pos:R:3 pbc="T T T"
Rb 0.000 0.000 0.000
Ca 4.144 4.144 4.144
Tl 2.072 2.072 2.072
Tl 6.215 6.215 6.215
```


No. 9
Density functional theory data (GGA-PBE) for NaSnO2 after structural relaxation.

Results
calculated density = 4.13 g/cm3
DOS at the Fermi energy = 0.0096 states/eV per atom
magnetization = 0.0000 μB per atom
electronic total energy = -5.23 eV/atom

The structure in extended XYZ format:
```
8
Lattice="-2.661 2.661 4.936 2.661 -2.661 4.936 2.661 2.661 -4.936" Properties=species:S:1:pos:R:3 pbc="T T T"
Na 0.000 0.000 0.000
Na 0.000 2.661 2.468
Sn 2.661 0.000 2.468
Sn 0.000 0.000 4.936
O 1.330 -1.076 3.702
O 1.585 1.330 1.234
O 1.330 3.736 -1.234
O 1.076 1.330 6.170
```


No. 10
Density functional theory data (GGA-PBE) for AsWC2N after structural relaxation.

Results
calculated density = 9.20 g/cm3
DOS at the Fermi energy = 0.5304 states/eV per atom
magnetization = 0.0000 μB per atom
electronic total energy = -6.51 eV/atom

The structure in extended XYZ format:
```
5
Lattice="3.815 0.000 0.000 0.000 3.815 0.000 0.000 0.000 3.683" Properties=species:S:1:pos:R:3 pbc="T T T"
As 0.000 0.000 0.000
W 1.907 1.907 1.842
C 0.000 1.907 0.000
C 1.907 0.000 0.000
N 0.000 0.000 1.842
```


No. 11
Density functional theory data (GGA-PBE) for Tl3Ni after structural relaxation.

Results
energy of formation = 0.236 eV per atom
calculated density = 10.98 g/cm3
DOS at the Fermi energy = 0.3822 states/eV per atom
magnetization = 0.0000 μB per atom
electronic total energy = -2.98 eV/atom

The structure in extended XYZ format:
```
4
Lattice="3.570 0.000 0.000 -1.785 3.091 0.000 0.000 0.000 9.204" Properties=species:S:1:pos:R:3 pbc="T T T"
Tl 0.000 0.000 0.000
Tl 1.785 1.030 2.819
Tl 1.785 1.030 6.385
Ni 0.000 0.000 4.602
```


No. 12
Density functional theory data (GGA-PBE) for HfPSe2N after structural relaxation.

Results
calculated density = 7.53 g/cm3
DOS at the Fermi energy = 0.5723 states/eV per atom
magnetization = 0.0000 μB per atom
electronic total energy = -5.91 eV/atom
polymorph energy (0 for the lowest one) = 0.0000 eV/atom

The structure in extended XYZ format:
```
5
Lattice="5.023 0.000 0.000 0.000 5.023 0.000 0.000 0.000 3.333" Properties=species:S:1:pos:R:3 pbc="T T T"
Hf 0.000 0.000 0.000
P 2.512 2.512 1.667
Se 0.000 2.512 1.667
Se 2.512 0.000 1.667
N 2.512 2.512 0.000
```